Record 1
# Nd4IrPt PBE relaxed
# Crystal system ... monoclinic
# E above lowest polymorph ... 0.0000 eV per atom
# Symmetry ... P2_1/c, No. 14
# Calculated formation energy ... -0.625 eV per atom
data_Nd4IrPt
_symmetry_space_group_name_H-M 'P 1'
_symmetry_Int_Tables_number 1
_cell_length_a 7.1456
_cell_length_b 7.1262
_cell_length_c 7.1361
_cell_angle_alpha 90.00
_cell_angle_beta 91.67
_cell_angle_gamma 90.00
loop_
_symmetry_equiv_pos_as_xyz
'x,y,z'
loop_
_atom_site_label
_atom_site_fract_x
_atom_site_fract_y
_atom_site_fract_z
Nd1 0.1680 0.1720 0.1792
Nd2 0.1680 0.3280 0.6792
Nd3 0.3250 0.6702 0.1645
Nd4 0.3250 0.8298 0.6645
Nd5 0.6750 0.1703 0.3355
Nd6 0.6750 0.3298 0.8355
Nd7 0.8320 0.6720 0.3208
Nd8 0.8320 0.8280 0.8208
Ir1 0.0000 0.0000 0.5000
Ir2 0.0000 0.5000 0.0000
Pt1 0.5000 0.0000 0.0000
Pt2 0.5000 0.5000 0.5000

---

Record 2
# SrNd6Te8 PBE relaxed
# Formation energy (no corrections) ... -1483 meV per atom
# Crystal system ... cubic
# Symmetry ... Fm-3m, No. 225
data_SrNd6Te8
_symmetry_space_group_name_H-M 'P 1'
_symmetry_Int_Tables_number 1
_cell_length_a 9.0022
_cell_length_b 9.0022
_cell_length_c 9.0022
_cell_angle_alpha 60.00
_cell_angle_beta 60.00
_cell_angle_gamma 60.00
loop_
_symmetry_equiv_pos_as_xyz
'x,y,z'
loop_
_atom_site_label
_atom_site_fract_x
_atom_site_fract_y
_atom_site_fract_z
Sr1 0.0000 0.0000 0.0000
Nd1 0.0000 0.0000 0.5000
Nd2 0.0000 0.5000 0.0000
Nd3 0.0000 0.5000 0.5000
Nd4 0.5000 0.0000 0.0000
Nd5 0.5000 0.0000 0.5000
Nd6 0.5000 0.5000 0.0000
Te1 0.2500 0.2500 0.2500
Te2 0.2593 0.2593 0.7407
Te3 0.2593 0.7407 0.2593
Te4 0.2593 0.7407 0.7407
Te5 0.7407 0.2593 0.2593
Te6 0.7407 0.2593 0.7407
Te7 0.7407 0.7407 0.2593
Te8 0.7500 0.7500 0.7500